# 1
Density functional theory data (PBE) for TlRuW2 after structural relaxation.

The structure in POSCAR format:
```
TlRuW2
1.0
9.6411 0.0104 0.0061
9.2005 2.8810 0.0061
9.2005 1.4119 2.5114
Ru Tl W
1 1 2
direct
0.5065 0.5065 0.5065 Ru
0.7528 0.7528 0.7528 Tl
0.2453 0.2453 0.2453 W
0.9954 0.9954 0.9954 W
```

Summary:
The calculation puts the energy above the most stable polymorph in this dataset at 100 meV per atom. The crystal system is trigonal.



# 2
Density functional theory data (PBE) for PrPuNiOs after structural relaxation.

The structure in POSCAR format:
```
PrPuNiOs
1.0
4.8907 0.0000 0.0000
2.4453 4.2354 0.0000
2.4453 1.4118 3.9932
Ni Pu Pr Os
1 1 1 1
direct
0.2500 0.2500 0.2500 Ni
0.5000 0.5000 0.5000 Pu
0.0000 0.0000 0.0000 Pr
0.7500 0.7500 0.7500 Os
```

Summary:
The crystal system is cubic. The total DFT energy (no corrections) comes out at -0.661 Ry/atom.



# 3
Density functional theory data (PBE) for Tb2Sm3Dy8 after structural relaxation.

The structure in POSCAR format:
```
Tb2Sm3Dy8
1.0
-4.6295 1.6273 1.1552
1.9001 -0.0834 7.7425
5.7677 8.9711 -0.5037
Dy Tb Sm
8 2 3
direct
0.6162 0.0781 0.2328 Dy
0.9226 0.6145 0.8447 Dy
0.6926 0.4610 0.3856 Dy
0.0774 0.3855 0.1553 Dy
0.3838 0.9219 0.7672 Dy
0.3074 0.5390 0.6144 Dy
0.1547 0.7690 0.3099 Dy
0.8453 0.2310 0.6901 Dy
0.7690 0.8461 0.5379 Tb
0.2310 0.1539 0.4621 Tb
0.4615 0.3070 0.9226 Sm
0.0000 0.0000 0.0000 Sm
0.5385 0.6930 0.0774 Sm
```

Summary:
The calculation puts the energy above the most stable polymorph in this dataset at 0 meV per atom. The crystal system is monoclinic.



# 4
Density functional theory data (PBE) for SmMnZn4 after structural relaxation.

The structure in POSCAR format:
```
SmMnZn4
1.0
-4.7904 0.8195 1.9985
-1.4922 -2.5180 4.3642
-0.5496 2.6497 4.5045
Zn Sm Mn
4 1 1
direct
0.6263 0.6263 0.6263 Zn
0.6263 0.6263 0.1212 Zn
0.6263 0.1212 0.6263 Zn
0.1212 0.6263 0.6263 Zn
0.2500 0.2500 0.2500 Sm
0.0000 0.0000 0.0000 Mn
```

Summary:
The crystal system is cubic. The total DFT energy (no corrections) comes out at -0.241 Ry/atom.



Please write out number 2 again, unchanged.
Density functional theory data (PBE) for PrPuNiOs after structural relaxation.

The structure in POSCAR format:
```
PrPuNiOs
1.0
4.8907 0.0000 0.0000
2.4453 4.2354 0.0000
2.4453 1.4118 3.9932
Ni Pu Pr Os
1 1 1 1
direct
0.2500 0.2500 0.2500 Ni
0.5000 0.5000 0.5000 Pu
0.0000 0.0000 0.0000 Pr
0.7500 0.7500 0.7500 Os
```

Summary:
The crystal system is cubic. The total DFT energy (no corrections) comes out at -0.661 Ry/atom.